Material: AlNiBiMo2
Method: DFT, PBE
State: relaxed

Summary:
Total moment: 0.56 μB/atom
ΔE_f: 4.05 eV/f.u.
Volume: 96.2 Å³/cell

a = 4.7052 Å, b = 4.3439 Å, c = 4.7052 Å
α = 90.00°, β = 90.00°, γ = 90.00°
With the nearest neighbours (Å) after each atom.
Fractional positions:
1 Mo 0.5000 0.0000 0.0000  2 Ni 2.35
2 Mo 0.0000 0.0000 0.5000  2 Ni 2.35
3 Bi 0.5000 0.5000 0.5000  8 Mo 3.20, 4 Al 3.33
4 Al 0.0000 0.5000 0.0000  2 Ni 2.17
5 Ni 0.0000 0.0000 0.0000  2 Al 2.17, 4 Mo 2.35